A plane-wave DFT calculation with PBE was carried out for a relaxed CoNi crystal.

a b c (Å): 2.475 2.475 7.091
angles (deg): 90.00 90.00 90.00
Positions (direct):
Ni 0.000 0.500 0.127
Ni 0.500 0.000 0.873
Co 0.000 0.500 0.624
Co 0.500 0.000 0.376

Calculated values
V (Å³/atom): 10.856
Total energy (eV per atom): -6.4487
SG: P4/nmm, No. 129
Formation enthalpy at 0 K (kJ/mol of atoms): -0.49

=====

A plane-wave DFT calculation with PBE was carried out for a relaxed CsKSr2Ag crystal.

a b c (Å): 6.418 6.418 7.205
angles (deg): 90.00 90.00 90.00
Positions (direct):
Cs 0.000 0.000 0.500
Sr 0.000 0.500 0.000
Sr 0.500 0.000 0.000
K 0.500 0.500 0.500
Ag 0.000 0.000 0.000

Calculated values
V (Å³/atom): 59.359
Total energy (eV per atom): -1.6023
SG: P4/mmm, No. 123
Formation enthalpy at 0 K (kJ/mol of atoms): 2.98

=====

A plane-wave DFT calculation with PBE was carried out for a relaxed ReTe2Os crystal.

a b c (Å): 4.539 4.539 5.558
angles (deg): 78.21 78.21 41.51
Positions (direct):
Os 0.750 0.750 0.750
Re 0.250 0.250 0.250
Te 0.997 0.997 0.002
Te 0.503 0.503 0.498

Calculated values
V (Å³/atom): 18.517
Total energy (eV per atom): -6.6821
SG: C2/m, No. 12
Formation energy (no corrections) (meV/atom): 808

=====

A plane-wave DFT calculation with PBE was carried out for a relaxed LuAlCoRh crystal.

a b c (Å): 4.427 4.427 4.427
angles (deg): 60.00 60.00 60.00
Positions (direct):
Rh 0.250 0.250 0.250
Lu 0.000 0.000 0.000
Co 0.750 0.750 0.750
Al 0.500 0.500 0.500

Calculated values
V (Å³/atom): 15.337
Total energy (eV per atom): -6.3599
SG: F-43m, No. 216
Formation enthalpy at 0 K (kJ/mol of atoms): -65.58

=====

A plane-wave DFT calculation with PBE was carried out for a relaxed PmMgInAg crystal.

a b c (Å): 5.123 5.123 5.123
angles (deg): 60.00 60.00 60.00
Positions (direct):
Mg 0.500 0.500 0.500
In 0.750 0.750 0.750
Ag 0.250 0.250 0.250
Pm 0.000 0.000 0.000

Calculated values
V (Å³/atom): 23.762
Total energy (eV per atom): -3.3446
SG: F-43m, No. 216
Formation enthalpy at 0 K (kJ/mol of atoms): -34.82

=====

A plane-wave DFT calculation with PBE was carried out for a relaxed NaHoCdGe crystal.

a b c (Å): 5.085 5.085 5.085
angles (deg): 60.00 60.00 60.00
Positions (direct):
Na 0.500 0.500 0.500
Ge 0.250 0.250 0.250
Ho 0.000 0.000 0.000
Cd 0.750 0.750 0.750

Calculated values
V (Å³/atom): 23.245
Total energy (eV per atom): -3.1422
SG: F-43m, No. 216
Formation enthalpy at 0 K (kJ/mol of atoms): -27.49